No. 1
Entry from Alexandria via LeMat-Bulk: ZrSiBr2 after structural relaxation (PBE).

The volume comes out at 110.4 Å³/cell. The energy relative to the elements, uncorrected comes out at -0.59 eV/atom. The calculation puts the uncorrected energy at -0.18076 Ha/atom. As for the mass density: 4.20 g cm⁻³. As for the symmetry: P4mm, No. 99. The value obtained for the total magnetization is 0.00 μB per formula unit.

The structure in POSCAR format:
```
ZrSiBr2
1.0
3.7339 0.0000 0.0000
0.0000 3.7339 0.0000
0.0000 0.0000 7.9170
Br Si Zr
2 1 1
Cartesian
0.0000 0.0000 7.2376 Br
1.8670 1.8670 2.6249 Br
0.0000 0.0000 4.6925 Si
1.8670 1.8670 5.2374 Zr
```

=====

No. 2
Entry from Alexandria via LeMat-Bulk: ZrSiBr2 after structural relaxation (PBE).

The volume comes out at 85.9 Å³/cell. The energy relative to the elements, uncorrected comes out at 0.15 eV/atom. The calculation puts the uncorrected energy at -0.15349 Ha/atom. As for the mass density: 5.40 g cm⁻³. As for the symmetry: I-4m2, No. 119. The value obtained for the total magnetization is 0.00 μB per formula unit.

The structure in POSCAR format:
```
ZrSiBr2
1.0
-3.0253 -4.7134 -0.4396
2.3961 -4.1146 -2.9818
1.6052 3.3523 4.2129
Zr Br Si
1 2 1
Cartesian
-0.8674 -2.8876 1.0312 Zr
1.8433 -2.5882 -0.2399 Br
0.0000 0.0000 0.0000 Br
-0.3146 -4.4140 -1.7107 Si
```

=====

No. 3
Entry from Alexandria via LeMat-Bulk: ZrSiBr after structural relaxation (PBE).

The volume comes out at 60.8 Å³/cell. The energy relative to the elements, uncorrected comes out at -0.16 eV/atom. The calculation puts the uncorrected energy at -0.19752 Ha/atom. As for the mass density: 5.44 g cm⁻³. As for the symmetry: P-6m2, No. 187. The value obtained for the total magnetization is 0.00 μB per formula unit.

The structure in POSCAR format:
```
ZrSiBr
1.0
4.7134 0.0000 0.0000
-2.3567 4.0819 0.0000
0.0000 0.0000 3.1623
Br Zr Si
1 1 1
Cartesian
0.0000 0.0000 2.6358 Br
2.3567 1.3606 2.6358 Zr
0.0000 2.7213 1.0531 Si
```

=====

No. 4
Entry from Alexandria via LeMat-Bulk: ZrSiBr2 after structural relaxation (PBE).

The volume comes out at 107.5 Å³/cell. The energy relative to the elements, uncorrected comes out at -0.18 eV/atom. The calculation puts the uncorrected energy at -0.16553 Ha/atom. As for the mass density: 4.31 g cm⁻³. As for the symmetry: Imm2, No. 44. The value obtained for the total magnetization is 0.00 μB per formula unit.

The structure in POSCAR format:
```
ZrSiBr2
1.0
7.0299 0.0350 -0.0010
4.3587 5.5156 0.0010
-5.1504 -3.8912 2.7843
Zr Br Si
1 2 1
Cartesian
2.3525 2.1517 1.3926 Zr
4.0691 -0.4029 1.3917 Br
0.7950 0.3875 0.0000 Br
4.7159 2.2984 0.0000 Si
```

=====

No. 5
Entry from Alexandria via LeMat-Bulk: ZrSiBr after structural relaxation (PBE).

The volume comes out at 72.5 Å³/cell. The energy relative to the elements, uncorrected comes out at 0.10 eV/atom. The calculation puts the uncorrected energy at -0.18810 Ha/atom. As for the mass density: 4.56 g cm⁻³. As for the symmetry: F-43m, No. 216. The value obtained for the total magnetization is 0.00 μB per formula unit.

The structure in POSCAR format:
```
ZrSiBr
1.0
-3.1471 -1.9142 -2.8863
-0.8137 -4.6060 0.1483
-4.0559 -1.6062 1.6939
Br Si Zr
1 1 1
Cartesian
0.0000 0.0000 0.0000 Br
-4.0083 -4.0632 -0.5221 Si
-6.0125 -6.0948 -0.7831 Zr
```

=====

No. 6
Entry from Alexandria via LeMat-Bulk: ZrSiBr2 after structural relaxation (PBE).

The volume comes out at 107.3 Å³/cell. The energy relative to the elements, uncorrected comes out at -0.29 eV/atom. The calculation puts the uncorrected energy at -0.16959 Ha/atom. As for the mass density: 4.32 g cm⁻³. As for the symmetry: R-3m, No. 166. The value obtained for the total magnetization is 0.00 μB per formula unit.

The structure in POSCAR format:
```
ZrSiBr2
1.0
11.2823 0.1965 0.1155
10.7311 3.4889 0.1155
10.7311 1.7965 2.9930
Br Zr Si
2 1 1
Cartesian
0.7927 0.1327 0.0781 Br
15.5795 2.6082 1.5340 Br
24.5583 4.1114 2.4181 Zr
8.1861 1.3705 0.8060 Si
```